Here is crystalline RbSe3N at its relaxed geometry from the Alexandria database. Energies are from GGA-PBEsol.

Its total energy is -3.746 eV/atom. As for the space group: Pm-3m. As for the crystal system: cubic. As for the uncorrected formation energy: 474 meV/atom.

a b c (Å): 4.6085 4.6085 4.6085
angles (deg): 90.00 90.00 90.00
Fractional coordinates of all 5 atoms:
Rb 0.0000 0.0000 0.0000
Se 0.0000 0.5000 0.5000
Se 0.5000 0.0000 0.5000
Se 0.5000 0.5000 0.0000
N 0.5000 0.5000 0.5000